No. 1
The following is a DFT calculation (GGA-PBE) of crystalline VTe2IN at its relaxed geometry.

Unit cell a=5.881 b=5.881 c=3.918 alpha=90.00 beta=90.00 gamma=90.00
Last column: magnetic moment on the atom in μB.
Positions (direct):
N 0.000 0.000 0.500  0.01
V 0.500 0.500 0.500  2.91
Te 0.000 0.500 0.000  -0.19
I 0.000 0.000 0.000  0.01
Te 0.500 0.000 0.000  -0.19

* relative energy among the computed polymorphs: 6.10 eV/f.u.
* formation energy from raw total energies: 1.42 eV per atom
* size of the total moment: 2.945 μB per formula unit


No. 2
The following is a DFT calculation (GGA-PBE) of crystalline TlCd2F4 at its relaxed geometry.

Unit cell a=8.096 b=7.290 c=7.290 alpha=55.42 beta=56.27 gamma=56.27
Positions (direct):
F 0.271 0.749 0.708
F 0.729 0.251 0.292
F 0.294 0.765 0.265
F 0.325 0.235 0.735
Cd 0.500 0.500 0.500
F 0.675 0.765 0.265
F 0.729 0.792 0.751
Cd 0.899 0.851 0.351
F 0.271 0.208 0.249
Tl 0.000 0.500 0.000
Tl 0.500 0.500 0.000
Cd 0.500 0.000 0.000
F 0.706 0.235 0.735
Cd 0.101 0.149 0.649

* relative energy among the computed polymorphs: 0.25 eV/f.u.
* formation energy from raw total energies: -1.76 eV per atom
* size of the total moment: 0.000 μB per formula unit


No. 3
The following is a DFT calculation (GGA-PBE) of crystalline CaLa3Ir at its relaxed geometry.

Unit cell a=27.701 b=6.944 c=10.933 alpha=90.00 beta=160.87 gamma=90.00
Positions (direct):
Ir 0.439 0.301 0.210
La 0.867 0.609 0.603
La 0.385 0.897 0.530
Ir 0.061 0.801 0.290
La 0.693 0.526 0.893
Ir 0.939 0.199 0.710
Ca 0.958 0.912 0.546
La 0.115 0.397 0.970
Ca 0.542 0.412 0.954
La 0.615 0.103 0.470
Ir 0.561 0.699 0.790
Ca 0.458 0.588 0.046
La 0.885 0.603 0.030
Ca 0.042 0.088 0.454
La 0.807 0.026 0.607
La 0.367 0.891 0.103
La 0.193 0.974 0.393
La 0.307 0.474 0.107
La 0.133 0.391 0.397
La 0.633 0.109 0.897

* relative energy among the computed polymorphs: 0.26 eV/f.u.
* ΔE_f: -0.30 eV/atom
* size of the total moment: 0.000 μB per formula unit


No. 4
The following is a DFT calculation (GGA-PBE) of crystalline Tm2MnHg at its relaxed geometry.

Unit cell a=3.486 b=3.486 c=7.507 alpha=90.00 beta=90.00 gamma=90.00
Last column: magnetic moment on the atom in μB.
Positions (direct):
Tm 0.000 0.000 0.772  -0.24
Mn 0.500 0.500 0.000  3.16
Hg 0.500 0.500 0.500  -0.01
Tm 0.000 0.000 0.228  -0.24

* relative energy among the computed polymorphs: 0.00 eV/f.u.
* ΔE_f: -0.18 eV/atom
* size of the total moment: 2.738 μB per formula unit


No. 5
The following is a DFT calculation (GGA-PBE) of crystalline LaTb6Pm2 at its relaxed geometry.

Unit cell a=3.507 b=9.881 c=9.881 alpha=63.63 beta=79.82 gamma=79.82
Positions (direct):
Tb 0.179 0.654 0.990
Tb 0.500 0.682 0.318
La 0.000 0.000 0.000
Pm 0.843 0.658 0.658
Tb 0.821 0.346 0.010
Pm 0.157 0.342 0.342
Tb 0.500 0.318 0.682
Tb 0.821 0.010 0.346
Tb 0.179 0.990 0.654

* relative energy among the computed polymorphs: 0.00 eV/f.u.
* ΔE_f: 0.10 eV/atom
* size of the total moment: 0.000 μB per formula unit


No. 6
The following is a DFT calculation (GGA-PBE) of crystalline PrNdPSe at its relaxed geometry.

Unit cell a=4.130 b=4.131 c=7.666 alpha=90.00 beta=105.62 gamma=120.00
Positions (direct):
P 0.306 0.551 0.873
Pr 0.486 0.141 0.643
Se 0.966 0.381 0.362
Nd 0.119 0.958 0.092

* formation energy from raw total energies: -1.71 eV per atom
* size of the total moment: 0.000 μB per formula unit